The following is a PBE calculation of SrAg5Hg2 after structural relaxation, from Alexandria.

Unit cell a=4.2391 b=7.8360 c=11.3297 alpha=90.00 beta=90.00 gamma=90.00
With the nearest neighbours (Å) after each atom.
Space group Immm (No. 71)
Inequivalent atoms, fractional coordinates:
Sr 0.0000 0.0000 0.0000 x2  4 Hg 3.45, 8 Ag 3.55
Ag 0.0000 0.1846 0.3744 x8  3 Hg 2.79-2.98, 4 Ag 2.85-2.93
Ag 0.0000 0.5000 0.0000 x2  8 Ag 2.93, 2 Hg 2.94
Hg 0.0000 0.5000 0.2599 x4  7 Ag 2.79-2.98

As for the formation energy: -0.08 eV/atom.

---

The following is a PBE calculation of Sr7Ag2Hg2 after structural relaxation, from Alexandria.

Unit cell a=4.4914 b=17.5058 c=10.7899 alpha=90.00 beta=90.00 gamma=90.00
With the nearest neighbours (Å) after each atom.
Space group Imm2 (No. 44)
Inequivalent atoms, fractional coordinates:
Sr 0.0000 0.0000 0.0000 x2  3 Hg 3.44-3.55
Sr 0.0000 0.1140 0.4105 x4  2 Ag 3.40, 3 Hg 3.45-3.52
Sr 0.0000 0.3158 0.6180 x4  3 Ag 3.31-3.44, 1 Hg 3.49
Sr 0.0000 0.3630 0.2439 x4  2 Hg 3.38, 2 Ag 3.41
Ag 0.0000 0.2400 0.9122 x4  7 Sr 3.31-3.44
Hg 0.0000 0.0000 0.6713 x2  7 Sr 3.38-3.55
Hg 0.0000 0.5000 0.7411 x2  8 Sr 3.44-3.52

For the energy above the most stable polymorph in this dataset, the calculation gives 0.0 kJ per mole of atoms. As for the formation energy: -0.31 eV/atom.